(1)
Material: Cd2CoCl
Method: DFT, SCAN
State: single point on PBEsol structure

a b c (Å): 3.897 3.897 5.581
angles (deg): 110.43 110.43 90.00
Last column: magnetic moment on the atom in μB.
Positions (direct):
Cl (0.500, 0.500, 0.000)  0.05
Co (0.250, 0.750, 0.500)  1.97
Cd (0.000, 0.000, 0.000)  -0.01
Cd (0.750, 0.250, 0.500)  -0.03

Results
crystal system = tetragonal
symmetry = I-4m2
total magnetization = 0.487 μB per atom
volume = 18.43 Å³/atom
DOS at the Fermi energy = 0.8715 states/eV/atom

---

(2)
Material: Cd2CoCl
Method: DFT, SCAN
State: single point on PBEsol structure

a b c (Å): 3.070 4.950 4.950
angles (deg): 109.53 90.00 90.00
Last column: magnetic moment on the atom in μB.
Positions (direct):
Cd (0.000, 0.000, 0.500)  -0.01
Cl (0.500, 0.000, 0.000)  0.03
Co (0.500, 0.500, 0.500)  1.89
Cd (0.000, 0.500, 0.000)  -0.01

Results
crystal system = orthorhombic
symmetry = Cmmm
total magnetization = 0.485 μB per atom
volume = 17.72 Å³/atom
DOS at the Fermi energy = 0.1126 states/eV/atom

---

(3)
Material: Cd2CoCl
Method: DFT, SCAN
State: single point on PBEsol structure

a b c (Å): 4.631 4.631 4.631
angles (deg): 60.00 60.00 60.00
Positions (direct):
Co (0.250, 0.250, 0.250)
Cl (0.500, 0.500, 0.500)
Cd (0.750, 0.750, 0.750)
Cd (0.000, 0.000, 0.000)

Results
crystal system = cubic
symmetry = F-43m
total magnetization = 0.000 μB per atom
volume = 17.55 Å³/atom
DOS at the Fermi energy = 0.1842 states/eV/atom

---

(4)
Material: Cd2CoCl
Method: DFT, SCAN
State: single point on PBEsol structure

a b c (Å): 3.066 3.066 9.489
angles (deg): 80.70 80.70 60.00
Last column: magnetic moment on the atom in μB.
Positions (direct):
Cd (0.745, 0.745, 0.765)  0.01
Cd (0.984, 0.984, 0.048)  -0.04
Cl (0.527, 0.527, 0.418)  0.11
Co (0.243, 0.243, 0.270)  1.81

Results
crystal system = trigonal
symmetry = R3m
total magnetization = 0.474 μB per atom
volume = 18.97 Å³/atom
DOS at the Fermi energy = 0.6577 states/eV/atom

---

Least stable = (3)